First-principles (GGA-PBE) data for PmSm3Pd3 after structural relaxation, as listed in Alexandria.

Properties
The formation energy from the elements comes out at -0.624 eV/atom. As for the space-group type: C2/m.

a b c (Å): 7.1302 7.1302 7.2107
angles (deg): 91.02 91.02 96.78
Positions (direct):
Pm  0.7387  0.7387  0.8762
Pm  0.2613  0.2613  0.1238
Sm  0.6550  0.6550  0.3698
Sm  0.1774  0.8226  0.5000
Sm  0.8226  0.1774  0.5000
Sm  0.2498  0.7502  0.0000
Sm  0.7502  0.2498  0.0000
Sm  0.3450  0.3450  0.6302
Pd  0.9374  0.9374  0.1920
Pd  0.9891  0.4946  0.7217
Pd  0.4946  0.9891  0.7217
Pd  0.0109  0.5054  0.2783
Pd  0.5054  0.0109  0.2783
Pd  0.0626  0.0626  0.8080